[1]
Compound: KSc2CdCo
Source: the Alexandria database
Functional: PBE
Structure: relaxed

Cell lengths 4.879, 4.879, 5.289 Å; angles 90.00, 90.00, 90.00 degrees
Space group P4/mmm (No. 123)
One atom of each set of equivalent atoms:
K  0.000  0.000  0.000 x1
Sc  0.000  0.500  0.500 x2
Cd  0.500  0.500  0.000 x1
Co  0.500  0.500  0.500 x1

* V: 125.88 Å³/cell
* energy: -21.26 eV per cell
* ΔH_f (0 K): 0.10 eV/atom

[2]
Compound: K2ScCdCo
Source: the Alexandria database
Functional: PBE
Structure: relaxed

Cell lengths 6.303, 6.303, 4.567 Å; angles 90.00, 90.00, 90.00 degrees
Space group P4/mmm (No. 123)
One atom of each set of equivalent atoms:
K  0.000  0.500  0.000 x2
Sc  0.000  0.000  0.500 x1
Cd  0.500  0.500  0.500 x1
Co  0.000  0.000  0.000 x1

* V: 181.45 Å³/cell
* energy: -13.54 eV per cell
* ΔH_f (0 K): 0.60 eV/atom

[3]
Compound: KCd2CoSn
Source: the Alexandria database
Functional: PBE
Structure: relaxed

Cell lengths 5.175, 5.175, 4.848 Å; angles 90.00, 90.00, 90.00 degrees
Space group P4/mmm (No. 123)
One atom of each set of equivalent atoms:
K  0.000  0.000  0.000 x1
Cd  0.000  0.500  0.500 x2
Co  0.500  0.500  0.500 x1
Sn  0.500  0.500  0.000 x1

* V: 129.85 Å³/cell
* energy: -14.18 eV per cell
* ΔH_f (0 K): -0.03 eV/atom